# 1
Entry from Alexandria via LeMat-Bulk: a relaxed structure of Re2RuAu (PBE).

The calculation puts the volume at 61 Å³/cell. For the formation energy, the calculation gives 0.28 eV per atom. For the total moment, the calculation gives 0.000 μB/atom.

The space group is Pmmm (No. 47) and the conventional cell measures 2.770, 4.008 and 5.520 Å, with angles of 90.00, 90.00 and 90.00 degrees. The inequivalent atoms are Re at (0.000, 0.000, 0.226), Ru at (0.500, 0.500, 0.000) and Au at (0.500, 0.500, 0.500).


# 2
Entry from Alexandria via LeMat-Bulk: a relaxed structure of Sr5VBr2N4 (PBE).

The calculation puts the volume at 524 Å³/cell. The uncorrected formation energy is -1.0173 eV per atom. For the total moment, the calculation gives 0.056 μB/atom.

The space group is Amm2 (No. 38) and the conventional cell measures 8.374, 9.721 and 6.437 Å, with angles of 90.00, 90.00 and 90.00 degrees. The inequivalent atoms are Sr at (0.000, 0.000, 0.000), Sr at (0.308, 0.185, 0.354), V at (0.500, 0.000, 0.863), Br at (0.000, 0.191, 0.633), N at (0.318, 0.000, 0.035) and N at (0.500, 0.154, 0.686).


# 3
Entry from Alexandria via LeMat-Bulk: a relaxed structure of LaCrPb2 (PBE).

The calculation puts the volume at 112 Å³/cell. For the formation energy, the calculation gives 0.17 eV per atom. For the total moment, the calculation gives 0.949 μB/atom.

The space group is P4mm (No. 99) and the conventional cell measures 3.846, 3.846 and 7.543 Å, with angles of 90.00, 90.00 and 90.00 degrees. The inequivalent atoms are La at (0.000, 0.000, 0.000), Cr at (0.500, 0.500, 0.738), Pb at (0.000, 0.000, 0.556) and Pb at (0.500, 0.500, 0.298).


# 4
Entry from Alexandria via LeMat-Bulk: a relaxed structure of Ca2ZnFeBr (PBE).

The calculation puts the volume at 136 Å³/cell. The uncorrected formation energy is 0.1444 eV per atom. For the total moment, the calculation gives 0.298 μB/atom.

The space group is P4/mmm (No. 123) and the conventional cell measures 5.558, 5.558 and 4.390 Å, with angles of 90.00, 90.00 and 90.00 degrees. The inequivalent atoms are Ca at (0.000, 0.500, 0.000), Zn at (0.000, 0.000, 0.500), Fe at (0.500, 0.500, 0.500) and Br at (0.500, 0.500, 0.000).


# 5
Entry from Alexandria via LeMat-Bulk: a relaxed structure of InReAg2 (PBE).

The calculation puts the volume at 214 Å³/cell. For the formation energy, the calculation gives 0.42 eV per atom. For the total moment, the calculation gives 0.000 μB/atom.

The space group is R3m (No. 160, hexagonal axes) and the conventional cell measures 2.9205, 2.9205 and 28.9180 Å, with angles of 90.00, 90.00 and 120.00 degrees. The inequivalent atoms are In at (0.0000, 0.0000, 0.0000), Re at (0.0000, 0.0000, 0.7487), Ag at (0.0000, 0.0000, 0.2456) and Ag at (0.0000, 0.0000, 0.4955).


# 6
Entry from Alexandria via LeMat-Bulk: a relaxed structure of KCd3Ir (PBE).

The calculation puts the volume at 148 Å³/cell. For the formation energy, the calculation gives -0.02 eV per atom. For the total moment, the calculation gives 0.000 μB/atom.

The space group is Pm-3m (No. 221) and the conventional cell measures 5.287, 5.287 and 5.287 Å, with angles of 90.00, 90.00 and 90.00 degrees. The inequivalent atoms are K at (0.000, 0.000, 0.000), Cd at (0.000, 0.500, 0.500) and Ir at (0.500, 0.500, 0.500).


# 7
Entry from Alexandria via LeMat-Bulk: a relaxed structure of NaCr3Fe (PBE).

The calculation puts the volume at 94 Å³/cell. For the formation energy, the calculation gives 1.08 eV per atom. For the total moment, the calculation gives 1.772 μB/atom.

The space group is Pm-3m (No. 221) and the conventional cell measures 4.549, 4.549 and 4.549 Å, with angles of 90.00, 90.00 and 90.00 degrees. The inequivalent atoms are Na at (0.000, 0.000, 0.000), Cr at (0.000, 0.500, 0.500) and Fe at (0.500, 0.500, 0.500).


# 8
Entry from Alexandria via LeMat-Bulk: a relaxed structure of Pr2Co3Si5 (PBE).

The calculation puts the volume at 634 Å³/cell. The uncorrected formation energy is -0.6988 eV per atom. For the total moment, the calculation gives 0.048 μB/atom.

The space group is C2/c (No. 15) and the conventional cell measures 11.238, 11.493 and 5.694 Å, with angles of 90.00, 120.39 and 90.00 degrees. The inequivalent atoms are Pr at (0.237, 0.132, 0.236), Co at (0.000, 0.500, 0.250), Co at (0.110, 0.136, 0.611), Si at (0.000, 0.001, 0.250), Si at (0.000, 0.267, 0.250), Si at (0.000, 0.268, 0.750) and Si at (0.150, 0.396, 0.151).


# 9
Entry from Alexandria via LeMat-Bulk: a relaxed structure of TiSF2 (PBE).

The calculation puts the volume at 213 Å³/cell. The uncorrected formation energy is -1.6662 eV per atom. For the total moment, the calculation gives 0.014 μB/atom.

The space group is I-42d (No. 122) and the conventional cell measures 3.900, 3.900 and 14.016 Å, with angles of 90.00, 90.00 and 90.00 degrees. The inequivalent atoms are Ti at (0.000, 0.000, 0.000), S at (0.000, 0.000, 0.500) and F at (0.124, 0.250, 0.125).


# 10
Entry from Alexandria via LeMat-Bulk: a relaxed structure of Ac2Cu2RhO6 (PBE).

The calculation puts the volume at 463 Å³/cell. The uncorrected formation energy is -1.6887 eV per atom. For the total moment, the calculation gives 0.083 μB/atom.

The space group is R-3m (No. 166, hexagonal axes) and the conventional cell measures 5.8792, 5.8792 and 15.4741 Å, with angles of 90.00, 90.00 and 120.00 degrees. The inequivalent atoms are Ac at (0.0000, 0.0000, 0.2200), Cu at (0.0000, 0.0000, 0.4165), Rh at (0.0000, 0.0000, 0.0000) and O at (0.0370, 0.5185, 0.7565).


Number 1: final energy -36.316 eV/cell. Number 2: final energy -132.766 eV/cell. Number 3: final energy -21.285 eV/cell. Number 4: final energy -14.691 eV/cell. Number 5: final energy -57.587 eV/cell. Number 6: final energy -12.807 eV/cell. Number 7: final energy -33.227 eV/cell. Number 8: final energy -259.917 eV/cell. Number 9: final energy -89.719 eV/cell. Number 10: final energy -216.258 eV/cell.